Record 1
Nd3ReN6 (PBE, relaxed); volume = 16.476 A^3/atom; DFT total energy = -0.30907 hartree per atom; magnetic moment = 0.520 μB per formula unit; calculated density = 7.09 g cm⁻³
1.0
4.886 -6.173 0.000
4.886 6.173 0.000
0.000 0.000 5.463
Nd Re N
6 2 12
direct
0.106 0.894 0.500 Nd
0.200 0.414 0.468 Nd
0.414 0.200 0.968 Nd
0.586 0.800 0.468 Nd
0.800 0.586 0.968 Nd
0.894 0.106 0.000 Nd
0.304 0.696 0.922 Re
0.696 0.304 0.422 Re
0.092 0.610 0.778 N
0.151 0.167 0.730 N
0.167 0.151 0.230 N
0.293 0.707 0.258 N
0.390 0.908 0.778 N
0.443 0.557 0.804 N
0.557 0.443 0.304 N
0.610 0.092 0.278 N
0.707 0.293 0.758 N
0.833 0.849 0.730 N
0.849 0.833 0.230 N
0.908 0.390 0.278 N

=====

Record 2
NdSc12In3 (PBE, relaxed); volume = 24.022 A^3/atom; DFT total energy = -0.21100 hartree per atom; magnetic moment = 3.715 μB per formula unit; energy of formation = -0.182 eV per atom; calculated density = 4.44 g cm⁻³
1.0
4.555 0.000 0.000
0.000 4.555 0.000
0.000 0.000 18.525
Nd Sc In
1 12 3
direct
0.000 0.000 0.000 Nd
0.000 0.500 0.134 Sc
0.000 0.500 0.378 Sc
0.000 0.500 0.622 Sc
0.000 0.500 0.866 Sc
0.500 0.000 0.134 Sc
0.500 0.000 0.378 Sc
0.500 0.000 0.622 Sc
0.500 0.000 0.866 Sc
0.500 0.500 0.000 Sc
0.500 0.500 0.258 Sc
0.500 0.500 0.500 Sc
0.500 0.500 0.742 Sc
0.000 0.000 0.257 In
0.000 0.000 0.500 In
0.000 0.000 0.743 In

=====

Record 3
YNOF2 (PBE, relaxed); volume = 17.639 A^3/atom; DFT total energy = -0.22513 hartree per atom; magnetic moment = 2.000 μB per formula unit; calculated density = 2.95 g cm⁻³; E above lowest polymorph = 0 meV per atom
1.0
4.385 0.000 0.000
0.000 4.385 0.000
0.000 0.000 4.587
Y N O F
1 1 1 2
direct
0.000 0.000 0.000 Y
0.500 0.500 0.500 N
0.000 0.000 0.500 O
0.000 0.500 0.000 F
0.500 0.000 0.000 F

=====

Record 4
La4PrSm2Er (PBE, relaxed); volume = 35.224 A^3/atom; DFT total energy = -0.17626 hartree per atom; magnetic moment = 0.000 μB per formula unit; energy of formation = 0.015 eV per atom; calculated density = 6.86 g cm⁻³
1.0
5.229 0.000 0.000
0.000 5.259 0.000
0.000 0.000 10.248
La Pr Sm Er
4 1 2 1
direct
0.000 0.000 0.247 La
0.000 0.000 0.753 La
0.500 0.500 0.247 La
0.500 0.500 0.753 La
0.000 0.500 0.500 Pr
0.000 0.500 0.000 Sm
0.500 0.000 0.500 Sm
0.500 0.000 0.000 Er

=====

Record 5
Na2CuBrCl2 (PBE, relaxed); volume = 27.799 A^3/atom; DFT total energy = -0.11910 hartree per atom; magnetic moment = 0.107 μB per formula unit; calculated density = 2.59 g cm⁻³
1.0
6.348 -3.767 0.000
6.348 3.767 0.000
0.000 0.000 6.975
Na Cu Br Cl
4 2 2 4
direct
0.009 0.660 0.500 Na
0.340 0.991 0.500 Na
0.660 0.009 0.000 Na
0.991 0.340 0.000 Na
0.322 0.678 0.027 Cu
0.678 0.322 0.527 Cu
0.376 0.624 0.675 Br
0.624 0.376 0.175 Br
0.015 0.678 0.113 Cl
0.322 0.985 0.113 Cl
0.678 0.015 0.613 Cl
0.985 0.322 0.613 Cl

=====

Record 6
Ac3Mg3Ga2 (PBE, relaxed); volume = 29.989 A^3/atom; DFT total energy = -0.11589 hartree per atom; magnetic moment = 0.000 μB per formula unit; energy of formation = -0.258 eV per atom; calculated density = 6.18 g cm⁻³
1.0
8.977 0.000 0.000
0.000 16.728 0.000
0.000 0.000 6.391
Ac Mg Ga
12 12 8
direct
0.040 0.112 0.108 Ac
0.040 0.388 0.108 Ac
0.180 0.250 0.624 Ac
0.320 0.750 0.124 Ac
0.460 0.612 0.608 Ac
0.460 0.888 0.608 Ac
0.540 0.112 0.392 Ac
0.540 0.388 0.392 Ac
0.680 0.250 0.876 Ac
0.820 0.750 0.376 Ac
0.960 0.612 0.892 Ac
0.960 0.888 0.892 Ac
0.170 0.750 0.610 Mg
0.175 0.033 0.606 Mg
0.175 0.467 0.606 Mg
0.325 0.533 0.106 Mg
0.325 0.967 0.106 Mg
0.330 0.250 0.110 Mg
0.670 0.750 0.890 Mg
0.675 0.033 0.894 Mg
0.675 0.467 0.894 Mg
0.825 0.533 0.394 Mg
0.825 0.967 0.394 Mg
0.830 0.250 0.390 Mg
0.110 0.608 0.373 Ga
0.110 0.892 0.373 Ga
0.390 0.108 0.873 Ga
0.390 0.392 0.873 Ga
0.610 0.608 0.127 Ga
0.610 0.892 0.127 Ga
0.890 0.108 0.627 Ga
0.890 0.392 0.627 Ga

=====

Record 7
TaHgCl4 (PBE, relaxed); volume = 22.468 A^3/atom; DFT total energy = -0.08569 hartree per atom; magnetic moment = 0.974 μB per formula unit; calculated density = 6.45 g cm⁻³; E above lowest polymorph = 1925 meV per atom
1.0
0.000 4.070 4.070
4.070 0.000 4.070
4.070 4.070 0.000
Ta Hg Cl
1 1 4
direct
0.000 0.000 0.000 Ta
0.250 0.250 0.250 Hg
0.121 0.626 0.626 Cl
0.626 0.121 0.626 Cl
0.626 0.626 0.121 Cl
0.626 0.626 0.626 Cl

=====

Record 8
SrCoW2 (PBE, relaxed); volume = 18.360 A^3/atom; DFT total energy = -0.27773 hartree per atom; magnetic moment = 1.222 μB per formula unit; energy of formation = 1.116 eV per atom; calculated density = 11.63 g cm⁻³; E above lowest polymorph = 450 meV per atom
1.0
2.824 0.000 0.000
0.000 5.187 0.000
-0.407 0.000 5.014
Sr Co W
1 1 2
direct
0.000 0.000 0.000 Sr
0.500 0.000 0.500 Co
0.334 0.500 0.740 W
0.666 0.500 0.260 W

=====

Record 9
AlFeSbTe2 (PBE, relaxed); volume = 29.497 A^3/atom; DFT total energy = -0.13423 hartree per atom; magnetic moment = 3.368 μB per formula unit; calculated density = 5.18 g cm⁻³; E above lowest polymorph = 390 meV per atom
1.0
5.330 0.000 0.000
0.000 5.330 0.000
0.000 0.000 5.192
Al Fe Sb Te
1 1 1 2
direct
0.000 0.000 0.000 Al
0.500 0.500 0.500 Fe
0.000 0.000 0.500 Sb
0.000 0.500 0.000 Te
0.500 0.000 0.000 Te

=====

Record 10
RbRe2AgGe (PBE, relaxed); volume = 25.436 A^3/atom; DFT total energy = -0.11705 hartree per atom; magnetic moment = 3.664 μB per formula unit; energy of formation = 3.481 eV per atom; calculated density = 8.34 g cm⁻³
1.0
4.928 0.000 0.000
0.000 4.928 0.000
0.000 0.000 5.238
Rb Re Ag Ge
1 2 1 1
direct
0.000 0.000 0.000 Rb
0.000 0.500 0.000 Re
0.500 0.000 0.000 Re
0.000 0.000 0.500 Ag
0.500 0.500 0.500 Ge

=====

Record 11
FeAg2Se (PBE, relaxed); volume = 18.242 A^3/atom; DFT total energy = -0.15230 hartree per atom; magnetic moment = 2.580 μB per formula unit; calculated density = 7.98 g cm⁻³
1.0
3.942 -1.536 0.000
3.942 1.536 0.000
-0.955 0.000 6.027
Fe Ag Se
1 2 1
direct
0.000 0.000 0.000 Fe
0.498 0.498 0.548 Ag
0.743 0.743 0.275 Ag
0.277 0.277 0.865 Se

=====

Record 12
AlMoN3 (PBE, relaxed); volume = 12.180 A^3/atom; DFT total energy = -0.26567 hartree per atom; magnetic moment = 0.000 μB per formula unit; calculated density = 4.50 g cm⁻³
1.0
3.934 0.000 0.000
0.000 3.934 0.000
0.000 0.000 3.934
Al Mo N
1 1 3
direct
0.000 0.000 0.000 Al
0.500 0.500 0.500 Mo
0.000 0.500 0.500 N
0.500 0.000 0.500 N
0.500 0.500 0.000 N